Record 1
This record from Alexandria via LeMat-Bulk describes crystalline ReRh2Cl at its relaxed geometry. The functional is PBE.

Output
The density of states at the Fermi level comes out at 0.832 states/eV per atom. The value obtained for the energy relative to the lowest polymorph listed for this composition is 0 meV per atom.

```
4
Lattice="-2.071 -1.657 -1.002 1.033 -2.186 1.482 -4.388 1.922 5.892" Properties=species:S:1:pos:R:3 pbc="T T T"
Cl -1.616 -1.441 1.713
Re -3.810 -0.480 4.659
Rh -4.318 1.891 5.797
Rh -2.265 0.992 3.041
```



Record 2
This record from Alexandria via LeMat-Bulk describes crystalline Re2RhCl at its relaxed geometry. The functional is PBE.

Output
The density of states at the Fermi level comes out at 0.868 states/eV per atom. The value obtained for the energy relative to the lowest polymorph listed for this composition is 78 meV per atom.

```
4
Lattice="2.855 0.000 0.000 0.000 2.855 0.000 0.000 0.000 7.601" Properties=species:S:1:pos:R:3 pbc="T T T"
Cl 1.428 1.428 5.851
Re 0.000 0.000 0.078
Re 1.428 1.428 1.808
Rh 0.000 0.000 3.664
```



Record 3
This record from Alexandria via LeMat-Bulk describes crystalline Re2RhCl at its relaxed geometry. The functional is PBE.

Output
The density of states at the Fermi level comes out at 1.050 states/eV per atom. The value obtained for the energy relative to the lowest polymorph listed for this composition is 679 meV per atom.

```
4
Lattice="2.797 0.000 0.000 0.000 4.619 0.000 0.000 0.000 4.741" Properties=species:S:1:pos:R:3 pbc="T T T"
Cl 0.000 2.310 2.371
Re 0.000 0.000 0.000
Re 1.399 2.310 0.000
Rh 1.399 0.000 2.371
```



Record 4
This record from Alexandria via LeMat-Bulk describes crystalline Re2RhCl at its relaxed geometry. The functional is PBE.

Output
The density of states at the Fermi level comes out at 1.213 states/eV per atom. The value obtained for the energy relative to the lowest polymorph listed for this composition is 541 meV per atom.

```
4
Lattice="-2.842 4.507 0.421 -2.595 1.947 -4.248 0.723 -3.953 3.524" Properties=species:S:1:pos:R:3 pbc="T T T"
Cl -2.419 1.891 1.016
Re -5.313 6.308 -3.740
Re -2.842 3.374 -2.001
Rh -2.295 0.611 -1.319
```



Record 5
This record from Alexandria via LeMat-Bulk describes crystalline ReRh2Cl at its relaxed geometry. The functional is PBE.

Output
The density of states at the Fermi level comes out at 1.110 states/eV per atom. The value obtained for the energy relative to the lowest polymorph listed for this composition is 595 meV per atom.

```
8
Lattice="6.129 0.000 0.000 0.000 6.129 0.000 3.065 3.065 4.406" Properties=species:S:1:pos:R:3 pbc="T T T"
Re 0.000 0.000 0.000
Re 6.129 3.065 2.203
Rh 4.701 1.532 1.102
Rh 1.428 4.597 1.102
Rh 4.597 4.493 3.305
Rh 7.662 7.766 3.305
Cl 3.065 3.065 0.000
Cl 3.065 6.129 2.203
```



Record 6
This record from Alexandria via LeMat-Bulk describes crystalline ReRh2Cl at its relaxed geometry. The functional is PBE.

Output
The density of states at the Fermi level comes out at 1.531 states/eV per atom. The value obtained for the energy relative to the lowest polymorph listed for this composition is 1007 meV per atom.

```
4
Lattice="3.885 0.000 0.000 0.000 3.944 0.000 0.000 0.000 3.944" Properties=species:S:1:pos:R:3 pbc="T T T"
Cl 1.942 1.972 0.000
Re 1.942 0.000 1.972
Rh 0.000 0.000 0.000
Rh 0.000 1.972 1.972
```



Record 7
This record from Alexandria via LeMat-Bulk describes crystalline Re2RhCl at its relaxed geometry. The functional is PBE.

Output
The density of states at the Fermi level comes out at 1.092 states/eV per atom. The value obtained for the energy relative to the lowest polymorph listed for this composition is 740 meV per atom.

```
4
Lattice="-2.047 -3.899 0.427 1.731 -0.497 4.041 -2.319 3.634 -0.997" Properties=species:S:1:pos:R:3 pbc="T T T"
Cl -2.262 -1.232 0.832
Re 0.000 0.000 0.000
Re -0.373 0.470 2.640
Rh -0.158 -2.198 2.234
```



Record 8
This record from Alexandria via LeMat-Bulk describes crystalline Re2RhCl at its relaxed geometry. The functional is PBE.

Output
The density of states at the Fermi level comes out at 0.933 states/eV per atom. The value obtained for the energy relative to the lowest polymorph listed for this composition is 516 meV per atom.

```
4
Lattice="5.260 0.000 -0.002 2.472 4.643 0.002 -3.237 -3.369 2.416" Properties=species:S:1:pos:R:3 pbc="T T T"
Cl 3.020 -0.478 1.207
Re 7.649 4.593 0.000
Re 1.475 1.752 1.209
Rh 3.948 2.371 0.000
```



Record 9
This record from Alexandria via LeMat-Bulk describes crystalline ReRh3Cl at its relaxed geometry. The functional is PBE.

Output
The density of states at the Fermi level comes out at 0.875 states/eV per atom. The value obtained for the energy relative to the lowest polymorph listed for this composition is 32 meV per atom.

```
5
Lattice="-1.228 -4.086 0.952 2.797 -0.057 3.359 -3.127 1.553 2.630" Properties=species:S:1:pos:R:3 pbc="T T T"
Re -0.779 -1.295 3.471
Rh 1.398 -0.029 1.679
Rh -1.563 0.776 1.315
Rh -0.614 -2.043 0.476
Cl 0.000 0.000 0.000
```



Record 10
This record from Alexandria via LeMat-Bulk describes crystalline ReRh2Cl at its relaxed geometry. The functional is PBE.

Output
The density of states at the Fermi level comes out at 1.346 states/eV per atom. The value obtained for the energy relative to the lowest polymorph listed for this composition is 426 meV per atom.

```
4
Lattice="2.814 0.000 0.000 0.000 3.476 0.000 0.000 0.000 6.455" Properties=species:S:1:pos:R:3 pbc="T T T"
Cl 0.000 0.000 3.234
Re 1.407 1.738 5.090
Rh 0.000 0.000 6.375
Rh 1.407 1.738 1.439
```



Record 11
This record from Alexandria via LeMat-Bulk describes crystalline Re2RhCl at its relaxed geometry. The functional is PBE.

Output
The density of states at the Fermi level comes out at 1.042 states/eV per atom. The value obtained for the energy relative to the lowest polymorph listed for this composition is 603 meV per atom.

```
4
Lattice="2.732 0.000 0.000 0.000 3.703 0.000 0.000 0.000 6.386" Properties=species:S:1:pos:R:3 pbc="T T T"
Cl 1.366 1.852 4.789
Re 0.000 0.000 0.260
Re 0.000 0.000 2.933
Rh 1.366 1.852 1.596
```



Record 12
This record from Alexandria via LeMat-Bulk describes crystalline Re2RhCl at its relaxed geometry. The functional is PBE.

Output
The density of states at the Fermi level comes out at 1.259 states/eV per atom. The value obtained for the energy relative to the lowest polymorph listed for this composition is 497 meV per atom.

```
4
Lattice="2.804 -0.009 0.000 -1.426 2.414 0.000 0.000 0.000 9.119" Properties=species:S:1:pos:R:3 pbc="T T T"
Cl 0.689 1.203 6.839
Re 0.000 0.000 0.008
Re 0.000 0.000 4.551
Rh 0.689 1.203 2.280
```



Number 1: formation energy (no corrections) 0.14 eV/atom, total magnetization 0.00 μB per formula unit, theoretical density 11.6 g/cm³. Number 2: formation energy (no corrections) 0.35 eV/atom, total magnetization 0.00 μB per formula unit, theoretical density 13.7 g/cm³. Number 3: formation energy (no corrections) 0.95 eV/atom, total magnetization 0.00 μB per formula unit, theoretical density 13.8 g/cm³. Number 4: formation energy (no corrections) 0.81 eV/atom, total magnetization 0.00 μB per formula unit, theoretical density 14.3 g/cm³. Number 5: formation energy (no corrections) 0.74 eV/atom, total magnetization 0.00 μB per formula unit, theoretical density 8.6 g/cm³. Number 6: formation energy (no corrections) 1.15 eV/atom, total magnetization 0.00 μB per formula unit, theoretical density 11.7 g/cm³. Number 7: formation energy (no corrections) 1.01 eV/atom, total magnetization 0.00 μB per formula unit, theoretical density 13.9 g/cm³. Number 8: formation energy (no corrections) 0.79 eV/atom, total magnetization 0.00 μB per formula unit, theoretical density 14.4 g/cm³. Number 9: formation energy (no corrections) 1.32 eV/atom, total magnetization 3.78 μB per formula unit, theoretical density 10.5 g/cm³. Number 10: formation energy (no corrections) 0.57 eV/atom, total magnetization 0.00 μB per formula unit, theoretical density 11.2 g/cm³. Number 11: formation energy (no corrections) 0.87 eV/atom, total magnetization 0.00 μB per formula unit, theoretical density 13.1 g/cm³. Number 12: formation energy (no corrections) 0.77 eV/atom, total magnetization 0.00 μB per formula unit, theoretical density 13.8 g/cm³.